# Li2InRh, optimized geometry, DFT PBE
data_Li2InRh
_chemical_formula_sum 'Li2 In1 Rh1'
_cell_length_a 3.226
_cell_length_b 4.389
_cell_length_c 4.492
_cell_angle_alpha 90.00
_cell_angle_beta 90.00
_cell_angle_gamma 90.00
_space_group_name_H-M_alt 'P m m m'
_space_group_IT_number 47
_space_group_name_Hall '-P 2 2'
loop_
_atom_site_label
_atom_site_type_symbol
_atom_site_fract_x
_atom_site_fract_y
_atom_site_fract_z
Li1 Li 0.000 0.000 0.000
Li2 Li 0.500 0.500 0.000
In1 In 0.000 0.500 0.500
Rh1 Rh 0.500 0.000 0.500
# * calculated total energy: -3.7992 eV/atom
# * formation enthalpy at 0 K: -0.32 eV/atom

# Cs2MoAuBr6, optimized geometry, DFT PBE
data_Cs2MoAuBr6
_chemical_formula_sum 'Cs4 Mo2 Au2 Br12'
_cell_length_a 7.792
_cell_length_b 7.792
_cell_length_c 11.000
_cell_angle_alpha 90.00
_cell_angle_beta 90.00
_cell_angle_gamma 90.00
_space_group_name_H-M_alt 'I 4/m m m'
_space_group_IT_number 139
_space_group_name_Hall '-I 4 2'
loop_
_atom_site_label
_atom_site_type_symbol
_atom_site_fract_x
_atom_site_fract_y
_atom_site_fract_z
Cs1 Cs 0.000 0.500 0.250
Mo1 Mo 0.000 0.000 0.000
Au1 Au 0.000 0.000 0.500
Br1 Br 0.000 0.000 0.240
Br2 Br 0.239 0.239 0.000
# * calculated total energy: -3.4720 eV/atom
# * formation energy without anion corrections: -8.9 eV/f.u.

# SmSbPt5, optimized geometry, DFT PBE
data_SmSbPt5
_chemical_formula_sum 'Sm4 Sb4 Pt20'
_cell_length_a 8.815
_cell_length_b 5.554
_cell_length_c 10.807
_cell_angle_alpha 90.00
_cell_angle_beta 90.00
_cell_angle_gamma 90.00
_space_group_name_H-M_alt 'P n m a'
_space_group_IT_number 62
_space_group_name_Hall '-P 2ac 2n'
loop_
_atom_site_label
_atom_site_type_symbol
_atom_site_fract_x
_atom_site_fract_y
_atom_site_fract_z
Sm1 Sm 0.248 0.250 0.050
Sb1 Sb 0.159 0.250 0.347
Pt1 Pt 0.066 0.507 0.797
Pt2 Pt 0.076 0.250 0.575
Pt3 Pt 0.089 0.750 0.021
Pt4 Pt 0.178 0.750 0.274
# * calculated total energy: -6.1976 eV/atom
# * formation energy without anion corrections: -4.3 eV/f.u.

# Tm2AlNi, optimized geometry, DFT PBE
data_Tm2AlNi
_chemical_formula_sum 'Tm8 Al4 Ni4'
_cell_length_a 6.926
_cell_length_b 6.926
_cell_length_c 6.926
_cell_angle_alpha 90.00
_cell_angle_beta 90.00
_cell_angle_gamma 90.00
_space_group_name_H-M_alt 'F m -3 m'
_space_group_IT_number 225
_space_group_name_Hall '-F 4 2 3'
loop_
_atom_site_label
_atom_site_type_symbol
_atom_site_fract_x
_atom_site_fract_y
_atom_site_fract_z
Tm1 Tm 0.250 0.250 0.250
Al1 Al 0.000 0.000 0.000
Ni1 Ni 0.000 0.000 0.500
# * calculated total energy: -4.9711 eV/atom
# * formation enthalpy at 0 K: -0.35 eV/atom
# * relative energy among the computed polymorphs: 75 meV per atom

no.,theoretical density (g/cm³)
1,6.0
2,5.2
3,15.7
4,8.5